Record 1
A relaxed structure of Mg2Cu2Te, computed with PBE.

The space group is P4/mbm (No. 127) and the conventional cell measures 6.8992, 6.8992 and 3.9521 Å, with angles of 90.00, 90.00 and 90.00 degrees. The distinct sites, in fractional coordinates, are Mg at (0.1597, 0.3403, 0.0000), Cu at (0.1247, 0.6247, 0.5000) and Te at (0.0000, 0.0000, 0.5000).

The total energy comes out at -3.035 eV/atom. The value obtained for the formation energy from raw total energies is -0.1302 eV/atom.



Record 2
A relaxed structure of HgPb2I2, computed with PBE.

The space group is I4/mmm (No. 139) and the conventional cell measures 6.5029, 6.5029 and 9.6264 Å, with angles of 90.00, 90.00 and 90.00 degrees. The distinct sites, in fractional coordinates, are Hg at (0.0000, 0.0000, 0.0000), Pb at (0.0000, 0.0000, 0.3234) and I at (0.0000, 0.5000, 0.2500).

For the energy above the most stable polymorph in this dataset, the calculation gives 0 meV per atom. The total energy comes out at -2.369 eV/atom. The value obtained for the formation energy from raw total energies is -0.2055 eV/atom.